Computed, not measured: a relaxed structure of LiMn2NiC at the PBE level of DFT.

```
data_LiMn2NiC
_space_group_name_H-M_alt 'P 4/m m m'
_space_group_IT_number 123
_space_group_name_Hall '-P 4 2'
_cell_length_a 3.8640
_cell_length_b 3.8640
_cell_length_c 3.7815
_cell_angle_alpha 90.00
_cell_angle_beta 90.00
_cell_angle_gamma 90.00
loop_
_atom_site_label
_atom_site_fract_x
_atom_site_fract_y
_atom_site_fract_z
Li1 0.0000 0.0000 0.0000
Mn1 0.0000 0.5000 0.5000
Ni1 0.5000 0.5000 0.0000
C1 0.5000 0.5000 0.5000
```

Values from the calculation:
Energy relative to the elements in eV/atom: 0.06
Fermi-level density of states in states/eV per cell: 3.35
Magnetic moment in Bohr magnetons per cell: 4.96
Total energy in eV per atom: -6.9871